The following is a PBE calculation of an optimized crystal structure of CdGa2Ag2, from Alexandria via LeMat-Bulk.

Properties
**E_form**: 0.5 eV/f.u.
**Polymorph energy (0 for the lowest one)**: 35 kJ/mol of formula units
**Space group**: I4/mmm, No. 139
**Total energy**: -12.2 eV/f.u.

Cell: 4.0209 4.0209 6.8787 Å, 73.01 73.01 90.00°
Fractional positions:
Ga: 0.6000 0.6000 0.8000
Ga: 0.4000 0.4000 0.2000
Cd: 0.0000 0.0000 0.0000
Ag: 0.2500 0.7500 0.5000
Ag: 0.7500 0.2500 0.5000

***

The following is a PBE calculation of an optimized crystal structure of Cd6GaAg10, from Alexandria via LeMat-Bulk.

Properties
**E_form**: 0.1 eV/f.u.
**Space group**: P-31m, No. 162
**Total energy**: -36.9 eV/f.u.

Cell: 5.7406 8.1573 8.1573 Å, 120.00 90.00 90.00°
Fractional positions:
Ag: 0.8177 0.2697 0.0000
Ag: 0.8177 0.0000 0.2697
Ag: 0.1823 0.0000 0.7303
Ag: 0.5000 0.3333 0.6667
Ag: 0.8177 0.7303 0.7303
Ag: 0.0000 0.3333 0.6667
Ag: 0.0000 0.6667 0.3333
Ag: 0.5000 0.6667 0.3333
Ag: 0.1823 0.2697 0.2697
Ag: 0.1823 0.7303 0.0000
Cd: 0.2970 0.6232 0.6232
Cd: 0.7030 0.0000 0.6232
Cd: 0.2970 0.3768 0.0000
Cd: 0.7030 0.3768 0.3768
Cd: 0.7030 0.6232 0.0000
Cd: 0.2970 0.0000 0.3768
Ga: 0.5000 0.0000 0.0000

***

The following is a PBE calculation of an optimized crystal structure of Cd2Ga7Ag12, from Alexandria via LeMat-Bulk.

Properties
**E_form**: -0.2 eV/f.u.
**Space group**: P-3, No. 147
**Total energy**: -57.4 eV/f.u.

Cell: 2.9768 12.1008 12.1008 Å, 120.00 90.00 90.00°
Fractional positions:
Ag: 0.2477 0.4690 0.3792
Ag: 0.2466 0.7545 0.8309
Ag: 0.7534 0.2455 0.1691
Ag: 0.2477 0.6208 0.0898
Ag: 0.7534 0.9236 0.7545
Ag: 0.7534 0.8309 0.0764
Ag: 0.2477 0.9102 0.5310
Ag: 0.2466 0.1691 0.9236
Ag: 0.7523 0.3792 0.9102
Ag: 0.7523 0.5310 0.6208
Ag: 0.2466 0.0764 0.2455
Ag: 0.7523 0.0898 0.4690
Ga: 0.7464 0.1289 0.7108
Ga: 0.5000 0.0000 0.0000
Ga: 0.7464 0.5820 0.8711
Ga: 0.2536 0.8711 0.2892
Ga: 0.2536 0.4180 0.1289
Ga: 0.7464 0.2892 0.4180
Ga: 0.2536 0.7108 0.5820
Cd: 0.7456 0.6667 0.3333
Cd: 0.2544 0.3333 0.6667

***

The following is a PBE calculation of an optimized crystal structure of CdGaAg4, from Alexandria via LeMat-Bulk.

Properties
**E_form**: -0.1 eV/f.u.
**Polymorph energy (0 for the lowest one)**: 0 kJ/mol of formula units
**Space group**: P-1, No. 2
**Total energy**: -15.4 eV/f.u.

Cell: 5.9036 7.8856 9.2275 Å, 118.70 129.10 41.11°
Fractional positions:
Ag: 0.1357 0.4072 0.6645
Ag: 0.8643 0.5928 0.3355
Ag: 0.6198 0.0859 0.3379
Ag: 0.8801 0.2477 0.0049
Ag: 0.1199 0.7523 0.9951
Ag: 0.3861 0.2458 0.0045
Ag: 0.3802 0.9141 0.6621
Ag: 0.6139 0.7542 0.9955
Ga: 0.1283 0.0876 0.3293
Ga: 0.8717 0.9124 0.6707
Cd: 0.6410 0.4116 0.6748
Cd: 0.3590 0.5884 0.3252

***

The following is a PBE calculation of an optimized crystal structure of CdGa4Ag7, from Alexandria via LeMat-Bulk.

Properties
**E_form**: 1.3 eV/f.u.
**Polymorph energy (0 for the lowest one)**: 121 kJ/mol of formula units
**Space group**: C2/m, No. 12
**Total energy**: -31.6 eV/f.u.

Cell: 5.2172 8.9653 5.8752 Å, 80.44 63.64 73.08°
Fractional positions:
Ag: 0.5000 0.0000 0.0000
Ag: 0.2112 0.0819 0.4957
Ag: 0.0424 0.6217 0.2935
Ag: 0.3445 0.5423 0.7686
Ag: 0.9576 0.3783 0.7065
Ag: 0.6555 0.4577 0.2314
Ag: 0.7888 0.9181 0.5043
Ga: 0.4144 0.7704 0.4008
Ga: 0.2723 0.3138 0.1415
Ga: 0.5856 0.2296 0.5992
Ga: 0.7277 0.6862 0.8585
Cd: 0.0000 0.0000 0.0000

***

The following is a PBE calculation of an optimized crystal structure of CdGaAg5, from Alexandria via LeMat-Bulk.

Properties
**E_form**: 0.2 eV/f.u.
**Polymorph energy (0 for the lowest one)**: 0 kJ/mol of formula units
**Space group**: P4/mmm, No. 123
**Total energy**: -18.0 eV/f.u.

Cell: 4.2688 4.2688 7.3111 Å, 90.00 90.00 90.00°
Fractional positions:
Ga: 0.5000 0.5000 0.0000
Ag: 0.0000 0.5000 0.7825
Ag: 0.0000 0.5000 0.2175
Ag: 0.5000 0.5000 0.5000
Ag: 0.5000 0.0000 0.2175
Ag: 0.5000 0.0000 0.7825
Cd: 0.0000 0.0000 0.5000

***

The following is a PBE calculation of an optimized crystal structure of CdGaAg, from Alexandria via LeMat-Bulk.

Properties
**E_form**: 0.1 eV/f.u.
**Polymorph energy (0 for the lowest one)**: 16 kJ/mol of formula units
**Space group**: P-1, No. 2
**Total energy**: -6.6 eV/f.u.

Cell: 5.0697 4.2283 7.7661 Å, 73.92 52.98 65.86°
Fractional positions:
Cd: 0.1332 0.1391 0.5904
Cd: 0.8668 0.8609 0.4096
Ag: 0.3560 0.4397 0.7630
Ag: 0.6440 0.5603 0.2370
Ga: 0.6659 0.7351 0.8640
Ga: 0.3341 0.2649 0.1360

***

The following is a PBE calculation of an optimized crystal structure of Cd5GaAg8, from Alexandria via LeMat-Bulk.

Properties
**E_form**: 0.7 eV/f.u.
**Space group**: I-4, No. 82
**Total energy**: -29.7 eV/f.u.

Cell: 7.1431 7.1431 7.1431 Å, 109.74 108.93 109.74°
Fractional positions:
Cd: 0.4567 0.1733 0.0502
Cd: 0.9498 0.4065 0.1231
Cd: 0.7166 0.5935 0.5433
Cd: 0.8769 0.8267 0.2834
Cd: 0.5000 0.0000 0.5000
Ag: 0.5949 0.4319 0.8226
Ag: 0.6679 0.8994 0.9035
Ag: 0.3908 0.5681 0.1631
Ag: 0.8369 0.2277 0.4051
Ag: 0.0041 0.1006 0.7685
Ag: 0.0965 0.7644 0.9959
Ag: 0.2315 0.2356 0.3321
Ag: 0.1774 0.7723 0.6092
Ga: 0.2500 0.5000 0.7500

***

The following is a PBE calculation of an optimized crystal structure of Cd5Ga2Ag2, from Alexandria via LeMat-Bulk.

Properties
**E_form**: 0.2 eV/f.u.
**Space group**: C2/m, No. 12
**Total energy**: -16.1 eV/f.u.

Cell: 4.2890 5.2795 10.0170 Å, 64.82 77.64 66.04°
Fractional positions:
Cd: 0.0640 0.5348 0.3374
Cd: 0.9360 0.4652 0.6626
Cd: 0.6211 0.9640 0.7938
Cd: 0.3789 0.0360 0.2062
Cd: 0.0000 0.0000 0.0000
Ag: 0.3127 0.4866 0.8880
Ag: 0.6873 0.5134 0.1120
Ga: 0.2366 0.9368 0.5899
Ga: 0.7634 0.0632 0.4101

***

The following is a PBE calculation of an optimized crystal structure of Cd2GaAg4, from Alexandria via LeMat-Bulk.

Properties
**E_form**: 0.1 eV/f.u.
**Polymorph energy (0 for the lowest one)**: 21 kJ/mol of formula units
**Space group**: C2/m, No. 12
**Total energy**: -16.2 eV/f.u.

Cell: 3.0054 6.1166 9.5206 Å, 53.93 80.92 75.78°
Fractional positions:
Ga: 0.0000 0.0000 0.0000
Ag: 0.6807 0.7449 0.8938
Ag: 0.3193 0.2551 0.1062
Ag: 0.0672 0.2242 0.6414
Ag: 0.9328 0.7758 0.3586
Cd: 0.6588 0.3493 0.3330
Cd: 0.3412 0.6507 0.6670

***

The following is a PBE calculation of an optimized crystal structure of Cd2GaAg6, from Alexandria via LeMat-Bulk.

Properties
**E_form**: -0.2 eV/f.u.
**Polymorph energy (0 for the lowest one)**: 0 kJ/mol of formula units
**Space group**: P4_2/mnm, No. 136
**Total energy**: -22.1 eV/f.u.

Cell: 4.2805 8.8022 8.8027 Å, 90.00 90.00 90.00°
Fractional positions:
Ag: 0.9999 0.3334 0.4903
Ag: 0.0000 0.9902 0.8334
Ag: 0.4999 0.1515 0.6515
Ag: 0.5001 0.8334 0.0097
Ag: 0.9999 0.3485 0.1515
Ag: 0.0001 0.6666 0.5097
Ag: 0.4999 0.1666 0.9903
Ag: 0.5000 0.5098 0.3334
Ag: 0.0001 0.6515 0.8485
Ag: 0.5001 0.8485 0.3485
Ag: 0.5000 0.4902 0.6666
Ag: 0.0000 0.0098 0.1666
Cd: 0.0001 0.6798 0.1798
Cd: 0.9999 0.3202 0.8202
Cd: 0.4999 0.1798 0.3202
Cd: 0.5001 0.8202 0.6798
Ga: 0.5000 0.5000 0.0000
Ga: 0.0000 0.0000 0.5000

***

The following is a PBE calculation of an optimized crystal structure of Cd4Ga2Ag3, from Alexandria via LeMat-Bulk.

Properties
**E_form**: 0.2 eV/f.u.
**Polymorph energy (0 for the lowest one)**: 11 kJ/mol of formula units
**Space group**: C2/c, No. 15
**Total energy**: -18.1 eV/f.u.

Cell: 5.1744 8.5773 8.5774 Å, 73.15 81.56 81.56°
Fractional positions:
Ga: 0.6846 0.4712 0.7391
Ga: 0.8154 0.2609 0.5288
Ga: 0.3154 0.5288 0.2609
Ga: 0.1846 0.7391 0.4712
Cd: 0.1302 0.6032 0.8332
Cd: 0.4773 0.9342 0.1846
Cd: 0.5227 0.0658 0.8154
Cd: 0.9773 0.1846 0.9342
Cd: 0.0227 0.8154 0.0658
Cd: 0.6302 0.8332 0.6032
Cd: 0.3698 0.1668 0.3968
Cd: 0.8698 0.3968 0.1668
Ag: 0.0783 0.9647 0.6948
Ag: 0.4217 0.3052 0.0353
Ag: 0.9217 0.0353 0.3052
Ag: 0.7500 0.6142 0.3858
Ag: 0.2500 0.3858 0.6142
Ag: 0.5783 0.6948 0.9647

***

The following is a PBE calculation of an optimized crystal structure of Cd2Ga6Ag, from Alexandria via LeMat-Bulk.

Properties
**E_form**: 0.7 eV/f.u.
**Polymorph energy (0 for the lowest one)**: 23 kJ/mol of formula units
**Space group**: P-31m, No. 162
**Total energy**: -22.1 eV/f.u.

Cell: 3.2046 8.1117 8.1117 Å, 120.00 90.00 90.00°
Fractional positions:
Ga: 0.2080 0.6723 0.6723
Ga: 0.7920 0.6723 0.0000
Ga: 0.2080 0.0000 0.3277
Ga: 0.2080 0.3277 0.0000
Ga: 0.7920 0.0000 0.6723
Ga: 0.7920 0.3277 0.3277
Cd: 0.5000 0.3333 0.6667
Cd: 0.5000 0.6667 0.3333
Ag: 0.0000 0.0000 0.0000

***

The following is a PBE calculation of an optimized crystal structure of CdGa2Ag5, from Alexandria via LeMat-Bulk.

Properties
**E_form**: 0.0 eV/f.u.
**Polymorph energy (0 for the lowest one)**: 2 kJ/mol of formula units
**Space group**: P1, No. 1
**Total energy**: -21.2 eV/f.u.

Cell: 6.9073 6.0650 5.7107 Å, 123.01 125.89 89.74°
Fractional positions:
Ag: 0.1458 0.6867 0.8669
Ag: 0.7953 0.7600 0.0206
Ag: 0.1478 0.1767 0.8666
Ag: 0.6418 0.6872 0.3732
Ag: 0.7980 0.2654 0.0241
Cd: 0.2967 0.2608 0.5215
Ga: 0.2954 0.7544 0.5087
Ga: 0.6561 0.1859 0.3723

***

The following is a PBE calculation of an optimized crystal structure of Cd3GaAg, from Alexandria via LeMat-Bulk.

Properties
**E_form**: 1.6 eV/f.u.
**Polymorph energy (0 for the lowest one)**: 151 kJ/mol of formula units
**Space group**: Pm-3m, No. 221
**Total energy**: -7.0 eV/f.u.

Cell: 5.2576 5.2576 5.2576 Å, 90.00 90.00 90.00°
Fractional positions:
Cd: 0.0000 0.5000 0.0000
Cd: 0.0000 0.0000 0.5000
Cd: 0.5000 0.0000 0.0000
Ga: 0.5000 0.5000 0.5000
Ag: 0.0000 0.0000 0.0000

***

The following is a PBE calculation of an optimized crystal structure of Cd3GaAg2, from Alexandria via LeMat-Bulk.

Properties
**E_form**: 0.2 eV/f.u.
**Space group**: C2/m, No. 12
**Total energy**: -11.3 eV/f.u.

Cell: 3.0742 8.4818 9.9236 Å, 105.49 98.91 90.00°
Fractional positions:
Cd: 0.3089 0.2884 0.6178
Cd: 0.6911 0.7116 0.3822
Cd: 0.0665 0.7916 0.1331
Cd: 0.9335 0.2084 0.8669
Cd: 0.5609 0.4298 0.1217
Cd: 0.4391 0.5702 0.8783
Ag: 0.6968 0.3719 0.3935
Ag: 0.0758 0.1370 0.1516
Ag: 0.9242 0.8630 0.8484
Ag: 0.3032 0.6281 0.6065
Ga: 0.3117 0.9547 0.6234
Ga: 0.6883 0.0453 0.3766

***

The following is a PBE calculation of an optimized crystal structure of CdGa6Ag2, from Alexandria via LeMat-Bulk.

Properties
**E_form**: 0.2 eV/f.u.
**Polymorph energy (0 for the lowest one)**: 0 kJ/mol of formula units
**Space group**: C2/m, No. 12
**Total energy**: -24.5 eV/f.u.

Cell: 2.9260 6.5584 9.5361 Å, 84.48 81.18 77.11°
Fractional positions:
Ga: 0.0031 0.2775 0.7163
Ga: 0.7073 0.4601 0.1254
Ga: 0.9969 0.7225 0.2837
Ga: 0.3806 0.7046 0.5342
Ga: 0.6194 0.2954 0.4658
Ga: 0.2927 0.5399 0.8746
Ag: 0.6832 0.8951 0.7386
Ag: 0.3168 0.1049 0.2614
Cd: 0.0000 0.0000 0.0000

***

The following is a PBE calculation of an optimized crystal structure of Cd2Ga2Ag5, from Alexandria via LeMat-Bulk.

Properties
**E_form**: 0.4 eV/f.u.
**Polymorph energy (0 for the lowest one)**: 34 kJ/mol of formula units
**Space group**: Amm2, No. 38
**Total energy**: -21.8 eV/f.u.

Cell: 5.7571 8.0811 9.3395 Å, 115.63 107.95 90.00°
Fractional positions:
Ag: 0.8995 0.9479 0.2962
Ag: 0.6005 0.1517 0.7038
Ag: 0.1034 0.1517 0.7038
Ag: 0.2500 0.7987 0.5000
Ag: 0.1005 0.6517 0.7038
Ag: 0.8967 0.4479 0.2962
Ag: 0.7500 0.2987 0.5000
Ag: 0.3967 0.9479 0.2962
Ag: 0.6033 0.6517 0.7038
Ag: 0.3995 0.4479 0.2962
Cd: 0.0000 0.9420 0.0000
Cd: 0.5000 0.4420 0.0000
Cd: 0.7500 0.8042 0.5000
Cd: 0.2500 0.3042 0.5000
Ga: 0.5780 0.1239 0.1560
Ga: 0.0780 0.6239 0.1560
Ga: 0.4220 0.9679 0.8440
Ga: 0.9220 0.4679 0.8440

***

The following is a PBE calculation of an optimized crystal structure of Cd3Ga2Ag6, from Alexandria via LeMat-Bulk.

Properties
**E_form**: 0.0 eV/f.u.
**Space group**: P-1, No. 2
**Total energy**: -25.9 eV/f.u.

Cell: 5.2374 5.2724 9.4675 Å, 113.02 66.53 114.25°
Fractional positions:
Ag: 0.8005 0.6983 0.5002
Ag: 0.3430 0.9574 0.1599
Ag: 0.1995 0.3017 0.4998
Ag: 0.2028 0.4970 0.8399
Ag: 0.7972 0.5030 0.1601
Ag: 0.6570 0.0426 0.8401
Ga: 0.2524 0.5065 0.2525
Ga: 0.7476 0.4935 0.7475
Cd: 0.7137 0.0691 0.3564
Cd: 0.2863 0.9309 0.6436
Cd: 0.0000 0.0000 0.0000

***

The following is a PBE calculation of an optimized crystal structure of Cd3GaAg, from Alexandria via LeMat-Bulk.

Properties
**E_form**: 0.0 eV/f.u.
**Polymorph energy (0 for the lowest one)**: 0 kJ/mol of formula units
**Space group**: P-1, No. 2
**Total energy**: -8.6 eV/f.u.

Cell: 3.0368 9.7413 7.2045 Å, 95.54 90.10 81.09°
Fractional positions:
Cd: 0.4641 0.1939 0.7031
Cd: 0.0700 0.9839 0.9174
Cd: 0.2314 0.6592 0.8334
Cd: 0.4461 0.2341 0.1785
Cd: 0.0516 0.0238 0.3924
Cd: 0.2839 0.5586 0.2622
Ag: 0.8560 0.4135 0.9411
Ag: 0.6601 0.8043 0.1545
Ga: 0.8406 0.4424 0.5588
Ga: 0.6728 0.7753 0.5369

***

The following is a PBE calculation of an optimized crystal structure of CdGaAg2, from Alexandria via LeMat-Bulk.

Properties
**E_form**: 0.6 eV/f.u.
**Space group**: I-42d, No. 122
**Total energy**: -9.0 eV/f.u.

Cell: 7.6477 7.6477 6.0990 Å, 51.17 51.17 90.00°
Fractional positions:
Ga: 0.2500 0.7500 0.5000
Ga: 0.5000 0.5000 0.0000
Cd: 0.7500 0.2500 0.5000
Cd: 0.0000 0.0000 0.0000
Ag: 0.3750 0.3995 0.7500
Ag: 0.6005 0.1250 0.2500
Ag: 0.1495 0.6250 0.2500
Ag: 0.8750 0.8505 0.7500